Entry 1:
Material: Nd8Si3CBr4
Method: DFT, GGA-PBE
State: relaxed

Lattice parameters (Å, degrees): 8.326 8.839 8.326 118.10 120.00 90.00
Fractional positions:
1 Si 0.500 0.500 0.000
2 Si 0.500 0.500 0.500
3 Si 0.000 0.500 0.500
4 Nd 0.219 0.698 0.978
5 Nd 0.780 0.302 0.561
6 Nd 0.781 0.302 0.022
7 Nd 0.759 0.698 0.978
8 Nd 0.263 0.288 0.525
9 Nd 0.737 0.712 0.475
10 Nd 0.241 0.302 0.022
11 Nd 0.220 0.698 0.439
12 C 0.000 0.500 0.000
13 Br 0.000 0.000 0.500
14 Br 0.500 0.000 0.000
15 Br 0.500 0.000 0.500
16 Br 0.000 0.000 0.000

## Properties
Crystal system: trigonal
Space-group type: R-3m
Formation energy without anion corrections in eV per atom: -1.0046



Entry 2:
Material: ZrAg3Sb
Method: DFT, GGA-PBE
State: relaxed

Lattice parameters (Å, degrees): 5.247 5.247 5.247 90.00 90.00 90.00
Site moments in Bohr magnetons follow the coordinates.
Fractional positions:
1 Zr 0.000 0.000 0.000  0.56
2 Ag 0.000 0.500 0.000  0.04
3 Ag 0.000 0.000 0.500  0.02
4 Ag 0.500 0.000 0.000  0.08
5 Sb 0.500 0.500 0.500  0.04

## Properties
Crystal system: cubic
Space-group type: Pm-3m
Formation energy without anion corrections in eV per atom: 1.1755
Energy above the most stable polymorph in this dataset in eV per atom: 0.340



Entry 3:
Material: CeAlH2
Method: DFT, GGA-PBE
State: relaxed

Lattice parameters (Å, degrees): 3.944 3.944 4.898 66.25 66.25 60.00
Site moments in Bohr magnetons follow the coordinates.
Fractional positions:
1 H 0.853 0.853 0.441  0.00
2 H 0.147 0.147 0.559  0.00
3 Al 0.000 0.000 0.000  0.02
4 Ce 0.500 0.500 0.500  0.53

## Properties
Crystal system: trigonal
Calculated total energy in eV/cell: -17.2
Space-group type: R-3m



Entry 4:
Material: K4La3HoTe8
Method: DFT, GGA-PBE
State: relaxed

Lattice parameters (Å, degrees): 9.314 9.834 9.315 118.27 120.00 90.00
Fractional positions:
1 K 0.000 0.000 0.000
2 K 0.000 0.000 0.500
3 K 0.500 0.000 0.500
4 K 0.500 0.000 0.000
5 Te 0.768 0.288 0.020
6 Te 0.232 0.712 0.980
7 Te 0.261 0.282 0.521
8 Te 0.748 0.712 0.980
9 Te 0.739 0.718 0.479
10 Te 0.252 0.288 0.020
11 Te 0.768 0.288 0.536
12 Te 0.232 0.712 0.464
13 La 0.500 0.500 0.500
14 La 0.000 0.500 0.500
15 La 0.500 0.500 0.000
16 Ho 0.000 0.500 0.000

## Properties
Crystal system: trigonal
Space-group type: R-3m
Formation energy without anion corrections in eV per atom: -1.4671



Entry 5:
Material: La6OsRu2I3
Method: DFT, GGA-PBE
State: relaxed

Lattice parameters (Å, degrees): 7.341 7.341 8.554 98.23 98.23 120.00
Fractional positions:
1 La 0.394 0.062 0.184
2 La 0.938 0.606 0.816
3 La 0.271 0.271 0.816
4 La 0.062 0.394 0.184
5 La 0.729 0.729 0.184
6 La 0.606 0.938 0.816
7 I 0.167 0.833 0.500
8 I 0.833 0.167 0.500
9 I 0.500 0.500 0.500
10 Os 0.000 0.000 0.000
11 Ru 0.667 0.333 0.000
12 Ru 0.333 0.667 0.000

## Properties
Crystal system: monoclinic
Space-group type: C2/m
Formation energy without anion corrections in eV per atom: -0.7358



Entry 6:
Material: Li2TlSbH
Method: DFT, GGA-PBE
State: relaxed

Lattice parameters (Å, degrees): 4.398 4.398 4.843 90.00 90.00 90.00
Fractional positions:
1 Li 0.500 0.000 0.000
2 Li 0.000 0.500 0.000
3 Sb 0.500 0.500 0.500
4 H 0.000 0.000 0.000
5 Tl 0.000 0.000 0.500

## Properties
Crystal system: tetragonal
Space-group type: P4/mmm
Energy above the most stable polymorph in this dataset in eV per atom: 0.000



Entry 7:
Material: YHfP2Cl
Method: DFT, GGA-PBE
State: relaxed

Lattice parameters (Å, degrees): 5.272 5.272 4.840 90.00 90.00 90.00
Fractional positions:
1 P 0.500 0.000 0.000
2 P 0.000 0.500 0.000
3 Y 0.000 0.000 0.000
4 Hf 0.500 0.500 0.500
5 Cl 0.000 0.000 0.500

## Properties
Crystal system: tetragonal
Space-group type: P4/mmm
Formation energy without anion corrections in eV per atom: 0.1912
Energy above the most stable polymorph in this dataset in eV per atom: 0.901



Entry 8:
Material: SrZnP
Method: DFT, GGA-PBE
State: relaxed

Lattice parameters (Å, degrees): 4.447 7.333 9.112 90.00 90.00 90.00
Fractional positions:
1 Sr 0.250 0.864 0.351
2 Sr 0.750 0.136 0.649
3 Sr 0.750 0.636 0.851
4 Sr 0.250 0.364 0.149
5 P 0.250 0.839 0.682
6 P 0.750 0.161 0.318
7 P 0.250 0.339 0.818
8 P 0.750 0.661 0.182
9 Zn 0.250 0.018 0.906
10 Zn 0.750 0.482 0.406
11 Zn 0.250 0.518 0.594
12 Zn 0.750 0.982 0.094

## Properties
Crystal system: orthorhombic
Energy of formation from the pure elements in eV/atom: -0.696
Space-group type: Pnma



Entry 9:
Material: Zr2Zn
Method: DFT, GGA-PBE
State: relaxed

Lattice parameters (Å, degrees): 8.869 8.869 8.869 90.00 120.00 60.00
Fractional positions:
1 Zn 0.070 0.715 0.355
2 Zn 0.070 0.715 0.715
3 Zn 0.430 0.355 0.715
4 Zn 0.570 0.285 0.285
5 Zn 0.930 0.285 0.285
6 Zn 0.930 0.285 0.645
7 Zn 0.570 0.645 0.285
8 Zn 0.430 0.715 0.715
9 Zr 0.250 0.312 0.312
10 Zr 0.124 0.688 0.062
11 Zr 0.000 0.000 0.500
12 Zr 0.876 0.312 0.938
13 Zr 0.750 0.688 0.688
14 Zr 0.750 0.062 0.062
15 Zr 0.500 0.500 0.000
16 Zr 0.750 0.062 0.688
17 Zr 0.624 0.938 0.312
18 Zr 0.250 0.938 0.312
19 Zr 0.500 0.500 0.500
20 Zr 0.376 0.062 0.688
21 Zr 0.250 0.938 0.938
22 Zr 0.000 0.500 0.500
23 Zr 0.750 0.688 0.062
24 Zr 0.250 0.312 0.938

## Properties
Crystal system: cubic
Energy of formation from the pure elements in eV/atom: -0.121
Space-group type: Fd-3m



Entry 10:
Material: Nd3ScAl4
Method: DFT, GGA-PBE
State: relaxed

Lattice parameters (Å, degrees): 3.615 3.615 14.811 90.00 90.00 90.00
Fractional positions:
1 Al 0.000 0.000 0.368
2 Al 0.000 0.000 0.632
3 Al 0.000 0.000 0.101
4 Al 0.000 0.000 0.899
5 Nd 0.500 0.500 0.237
6 Nd 0.500 0.500 0.763
7 Nd 0.500 0.500 0.500
8 Sc 0.500 0.500 0.000

## Properties
Crystal system: tetragonal
Energy of formation from the pure elements in eV/atom: -0.371
Space-group type: P4/mmm



Entry 11:
Material: K3Nd2ErSe6
Method: DFT, GGA-PBE
State: relaxed

Lattice parameters (Å, degrees): 7.438 7.438 8.092 98.82 98.82 120.00
Fractional positions:
1 Se 0.746 0.746 0.208
2 Se 0.393 0.069 0.208
3 Se 0.254 0.254 0.792
4 Se 0.069 0.393 0.208
5 Se 0.607 0.931 0.792
6 Se 0.931 0.607 0.792
7 Nd 0.334 0.666 0.000
8 Nd 0.666 0.334 0.000
9 Er 0.000 0.000 0.000
10 K 0.832 0.168 0.500
11 K 0.168 0.832 0.500
12 K 0.500 0.500 0.500

## Properties
Crystal system: monoclinic
Space-group type: C2/m
Formation energy without anion corrections in eV per atom: -1.7517



Entry 12:
Material: Rb2CrPdBr6
Method: DFT, GGA-PBE
State: relaxed

Lattice parameters (Å, degrees): 7.509 7.509 7.480 59.87 59.87 90.00
Site moments in Bohr magnetons follow the coordinates.
Fractional positions:
1 Br 0.258 0.742 0.000  0.01
2 Br 0.745 0.745 0.509  0.02
3 Br 0.742 0.742 0.000  0.01
4 Br 0.255 0.255 0.491  0.02
5 Br 0.742 0.258 0.000  0.01
6 Br 0.258 0.258 0.000  0.01
7 Rb 0.250 0.750 0.500  0.00
8 Rb 0.750 0.250 0.500  0.00
9 Cr 0.500 0.500 0.000  3.15
10 Pd 0.000 0.000 0.000  0.44

## Properties
Crystal system: tetragonal
Space-group type: I4/mmm
Formation energy without anion corrections in eV per atom: -0.9705